Entry 1:
Ac3AsPbO: relaxed, PBE-GGA.

Cell: 9.7543 4.4567 9.8487 Å, 90.00 102.70 90.00°
Space group P2_1/m (No. 11)
One atom of each set of equivalent atoms:
1 Ac 0.0731 0.2500 0.3326 (multiplicity 2)
2 Ac 0.3355 0.2500 0.9806 (multiplicity 2)
3 Ac 0.3892 0.7500 0.6491 (multiplicity 2)
4 As 0.1555 0.2500 0.6591 (multiplicity 2)
5 Pb 0.3214 0.7500 0.2714 (multiplicity 2)
6 O 0.4157 0.7500 0.9059 (multiplicity 2)

Calculated values
Crystal system: monoclinic

Entry 2:
AcAs2PbO6: relaxed, PBE-GGA.

Cell: 6.1653 6.1653 15.4757 Å, 90.00 90.00 120.00°
Space group R-3 (No. 148, hexagonal axes)
One atom of each set of equivalent atoms:
1 Ac 0.0000 0.0000 0.0000 (multiplicity 3)
2 As 0.0000 0.0000 0.2940 (multiplicity 6)
3 Pb 0.0000 0.0000 0.5000 (multiplicity 3)
4 O 0.0245 0.2776 0.7497 (multiplicity 18)

Calculated values
Crystal system: trigonal

Entry 3:
Ac2AsPbO8: relaxed, PBE-GGA.

Cell: 5.5175 5.5175 6.8805 Å, 90.00 90.00 120.00°
Space group P-3m1 (No. 164)
One atom of each set of equivalent atoms:
1 Ac 0.3333 0.6667 0.3462 (multiplicity 2)
2 As 0.0000 0.0000 0.5000 (multiplicity 1)
3 Pb 0.0000 0.0000 0.0000 (multiplicity 1)
4 O 0.1586 0.3171 0.6550 (multiplicity 6)
5 O 0.3333 0.6667 0.0146 (multiplicity 2)

Calculated values
Crystal system: trigonal

Entry 4:
AcAsPbO5: relaxed, PBE-GGA.

Cell: 7.2894 10.5120 8.4326 Å, 90.00 110.87 90.00°
Space group C2/c (No. 15)
One atom of each set of equivalent atoms:
1 Ac 0.0000 0.0000 0.0000 (multiplicity 4)
2 As 0.0000 0.3140 0.2500 (multiplicity 4)
3 Pb 0.0000 0.3130 0.7500 (multiplicity 4)
4 O 0.0000 0.1084 0.7500 (multiplicity 4)
5 O 0.1226 0.2123 0.1559 (multiplicity 8)
6 O 0.1581 0.4064 0.4068 (multiplicity 8)

Calculated values
Crystal system: monoclinic

Entry 5:
AcAsPbO: relaxed, PBE-GGA.

Cell: 4.5423 4.5423 9.9906 Å, 90.00 90.00 90.00°
Space group P4/nmm (No. 129, origin choice 2)
One atom of each set of equivalent atoms:
1 Ac 0.2500 0.2500 0.1126 (multiplicity 2)
2 As 0.2500 0.2500 0.7115 (multiplicity 2)
3 Pb 0.2500 0.7500 0.5000 (multiplicity 2)
4 O 0.2500 0.7500 0.0000 (multiplicity 2)

Calculated values
Crystal system: tetragonal

Entry 6:
AcAs2PdO6: relaxed, PBE-GGA.

Cell: 5.5613 5.5613 17.2235 Å, 90.00 90.00 120.00°
Space group R-3 (No. 148, hexagonal axes)
One atom of each set of equivalent atoms:
1 Ac 0.0000 0.0000 0.0000 (multiplicity 3)
2 As 0.0000 0.0000 0.2728 (multiplicity 6)
3 Pd 0.0000 0.0000 0.5000 (multiplicity 3)
4 O 0.0153 0.6408 0.9064 (multiplicity 18)

Calculated values
Crystal system: trigonal

Entry 7:
AcAsPdO: relaxed, PBE-GGA.

Cell: 4.3477 4.3477 8.5890 Å, 90.00 90.00 90.00°
Space group P4/nmm (No. 129, origin choice 2)
One atom of each set of equivalent atoms:
1 Ac 0.2500 0.2500 0.1434 (multiplicity 2)
2 As 0.2500 0.2500 0.6486 (multiplicity 2)
3 Pd 0.2500 0.7500 0.5000 (multiplicity 2)
4 O 0.2500 0.7500 0.0000 (multiplicity 2)

Calculated values
Crystal system: tetragonal

Entry 8:
AcPmAs2O8: relaxed, PBE-GGA.

Cell: 5.2430 5.2430 12.0261 Å, 90.00 90.00 90.00°
Space group I-4 (No. 82)
One atom of each set of equivalent atoms:
1 Ac 0.0000 0.0000 0.0000 (multiplicity 2)
2 Pm 0.0000 0.5000 0.7500 (multiplicity 2)
3 As 0.0000 0.0000 0.5000 (multiplicity 2)
4 As 0.0000 0.5000 0.2500 (multiplicity 2)
5 O 0.1216 0.2478 0.5787 (multiplicity 8)
6 O 0.1410 0.7456 0.1765 (multiplicity 8)

Calculated values
Crystal system: tetragonal

| no. | formation energy without anion corrections (meV per atom) |
| --- | --- |
| 1 | -1607 |
| 2 | -1650 |
| 3 | -1644 |
| 4 | -1958 |
| 5 | -1553 |
| 6 | -1347 |
| 7 | -1883 |
| 8 | -2335 |